{"formula": "Y2In2Si", "functional": "GGA-PBE", "state": "relaxed", "lattice": [[-5.6444, 0.3520, -4.6126], [2.2250, -6.1732, -3.1938], [-2.6215, -2.5056, 3.0167]], "species": ["Y", "Y", "Y", "Y", "In", "In", "In", "In", "Si", "Si"], "fractional_positions": [[0.8306, 0.3306, 0.5000], [0.6694, 0.8306, 0.5000], [0.1694, 0.6694, 0.5000], [0.3306, 0.1694, 0.5000], [0.1380, 0.3620, 0.0000], [0.3620, 0.8620, 0.0000], [0.6380, 0.1380, 0.0000], [0.8620, 0.6380, 0.0000], [0.5000, 0.5000, 0.0000], [0.0000, 0.0000, 0.0000]], "raw_formation_energy_kj_per_mol_atoms": -30, "magnetic_moment_mub_per_atom": 0.000, "spacegroup": "P4/mbm (127)"}


{"formula": "YIn2Si", "functional": "GGA-PBE", "state": "relaxed", "lattice": [[-6.0668, 3.0832, -4.5880], [4.4625, -1.2882, -6.7667], [-1.9727, -1.7925, -5.9372]], "species": ["Y", "Y", "In", "In", "In", "In", "Si", "Si"], "fractional_positions": [[0.0000, 0.0000, 0.0000], [0.7500, 0.2500, 0.5000], [0.5746, 0.1250, 0.2500], [0.8750, 0.8246, 0.7500], [0.1754, 0.6250, 0.2500], [0.3750, 0.4254, 0.7500], [0.5000, 0.5000, 0.0000], [0.2500, 0.7500, 0.5000]], "raw_formation_energy_kj_per_mol_atoms": -17, "magnetic_moment_mub_per_atom": 0.000, "spacegroup": "I-42d (122)"}


{"formula": "YInSi", "functional": "GGA-PBE", "state": "relaxed", "lattice": [[-0.9887, 0.2136, 4.7716], [-4.4486, -1.1684, 1.6235], [-0.6678, -4.1110, 2.5387]], "species": ["Y", "Si", "In"], "fractional_positions": [[0.7500, 0.7500, 0.7500], [0.5000, 0.5000, 0.5000], [0.0000, 0.0000, 0.0000]], "raw_formation_energy_kj_per_mol_atoms": 4, "magnetic_moment_mub_per_atom": 0.000, "spacegroup": "F-43m (216)"}


{"formula": "YIn4Si", "functional": "GGA-PBE", "state": "relaxed", "lattice": [[0.0000, 4.2287, 4.2287], [4.2287, 0.0000, 4.2287], [4.2287, 4.2287, 0.0000]], "species": ["In", "In", "In", "In", "Y", "Si"], "fractional_positions": [[0.3756, 0.3756, 0.8733], [0.3756, 0.3756, 0.3756], [0.3756, 0.8733, 0.3756], [0.8733, 0.3756, 0.3756], [0.0000, 0.0000, 0.0000], [0.7500, 0.7500, 0.7500]], "raw_formation_energy_kj_per_mol_atoms": 14, "magnetic_moment_mub_per_atom": 0.000, "spacegroup": "F-43m (216)"}


{"formula": "Y2InSi", "functional": "GGA-PBE", "state": "relaxed", "lattice": [[-0.3430, 0.0318, 4.0930], [2.2764, -3.7846, 0.2202], [5.8591, 0.9713, 0.4834]], "species": ["Y", "Y", "In", "Si"], "fractional_positions": [[0.0000, 0.9875, 0.8999], [0.5000, 0.2693, 0.3362], [0.0000, 0.7030, 0.4686], [0.5000, 0.5402, 0.7953]], "raw_formation_energy_kj_per_mol_atoms": -59, "magnetic_moment_mub_per_atom": 0.000, "spacegroup": "Amm2 (38)"}


{"formula": "YInSi", "functional": "GGA-PBE", "state": "relaxed", "lattice": [[4.7163, 0.0000, 0.0000], [2.3582, 4.0845, 0.0000], [2.3582, 1.3615, 3.8509]], "species": ["Y", "Si", "In"], "fractional_positions": [[0.0000, 0.0000, 0.0000], [0.7500, 0.7500, 0.7500], [0.5000, 0.5000, 0.5000]], "raw_formation_energy_kj_per_mol_atoms": -16, "magnetic_moment_mub_per_atom": 0.000, "spacegroup": "F-43m (216)"}


- Number 1 is which compound?
  Y2In2Si


Copy entry 6 word for word.
{"formula": "YInSi", "functional": "GGA-PBE", "state": "relaxed", "lattice": [[4.7163, 0.0000, 0.0000], [2.3582, 4.0845, 0.0000], [2.3582, 1.3615, 3.8509]], "species": ["Y", "Si", "In"], "fractional_positions": [[0.0000, 0.0000, 0.0000], [0.7500, 0.7500, 0.7500], [0.5000, 0.5000, 0.5000]], "raw_formation_energy_kj_per_mol_atoms": -16, "magnetic_moment_mub_per_atom": 0.000, "spacegroup": "F-43m (216)"}